1.
# MgZrTa2

A relaxed structure of MgZrTa2 (PBE, Alexandria via LeMat-Bulk).

## Properties
**Magnetic moment**: 0.00 μB per formula unit
**Final energy**: -8.35 eV per atom
**Formation energy from the elements**: 0.111 eV/atom

abc: 3.448 4.737 9.843
angles: 90.00 90.00 90.00
Space group Cmm2 (No. 35)
One atom of each set of equivalent atoms:
Mg: 0.000 0.000 0.000 [2 per cell]
Zr: 0.000 0.500 0.277 [2 per cell]
Ta: 0.000 0.000 0.523 [2 per cell]
Ta: 0.000 0.500 0.748 [2 per cell]


2.
# MgZrTa2

A relaxed structure of MgZrTa2 (PBE, Alexandria via LeMat-Bulk).

## Properties
**Magnetic moment**: 0.00 μB per formula unit
**Final energy**: -8.28 eV per atom
**Formation energy from the elements**: 0.184 eV/atom

abc: 2.874 2.874 9.736
angles: 90.00 90.00 90.00
Space group P4mm (No. 99)
One atom of each set of equivalent atoms:
Mg: 0.000 0.000 0.000 [1 per cell]
Zr: 0.500 0.500 0.727 [1 per cell]
Ta: 0.000 0.000 0.484 [1 per cell]
Ta: 0.500 0.500 0.248 [1 per cell]


3.
# Mg2ZrTa2

A relaxed structure of Mg2ZrTa2 (PBE, Alexandria via LeMat-Bulk).

## Properties
**Polymorph energy (0 for the lowest one)**: 174 meV/atom
**Magnetic moment**: 0.00 μB per formula unit
**Final energy**: -6.45 eV per atom
**Formation energy from the elements**: 0.636 eV/atom

abc: 3.959 3.959 13.762
angles: 90.00 90.00 90.00
Space group I4/mmm (No. 139)
One atom of each set of equivalent atoms:
Mg: 0.000 0.500 0.250 [4 per cell]
Zr: 0.000 0.000 0.000 [2 per cell]
Ta: 0.000 0.000 0.411 [4 per cell]


4.
# MgZrTa

A relaxed structure of MgZrTa (PBE, Alexandria via LeMat-Bulk).

## Properties
**Polymorph energy (0 for the lowest one)**: 375 meV/atom
**Magnetic moment**: 0.23 μB per formula unit
**Final energy**: -6.91 eV per atom
**Formation energy from the elements**: 0.422 eV/atom

abc: 5.582 9.395 10.250
angles: 90.00 90.00 90.00
Space group Fmmm (No. 69)
One atom of each set of equivalent atoms:
Mg: 0.000 0.166 0.000 [8 per cell]
Zr: 0.000 0.000 0.335 [8 per cell]
Ta: 0.250 0.250 0.250 [8 per cell]


5.
# Mg4ZrTa

A relaxed structure of Mg4ZrTa (PBE, Alexandria via LeMat-Bulk).

## Properties
**Magnetic moment**: 1.53 μB per formula unit
**Final energy**: -4.12 eV per atom
**Formation energy from the elements**: 0.343 eV/atom

abc: 7.893 7.893 7.893
angles: 90.00 90.00 90.00
Space group F-43m (No. 216)
One atom of each set of equivalent atoms:
Mg: 0.124 0.124 0.124 [16 per cell]
Zr: 0.000 0.000 0.500 [4 per cell]
Ta: 0.250 0.250 0.750 [4 per cell]


6.
# MgZrTa

A relaxed structure of MgZrTa (PBE, Alexandria via LeMat-Bulk).

## Properties
**Polymorph energy (0 for the lowest one)**: 993 meV/atom
**Magnetic moment**: 0.00 μB per formula unit
**Final energy**: -6.29 eV per atom
**Formation energy from the elements**: 1.039 eV/atom

abc: 6.485 6.485 6.485
angles: 90.00 90.00 90.00
Space group F-43m (No. 216)
One atom of each set of equivalent atoms:
Mg: 0.000 0.000 0.000 [4 per cell]
Zr: 0.250 0.250 0.750 [4 per cell]
Ta: 0.250 0.250 0.250 [4 per cell]


7.
# MgZrTa2

A relaxed structure of MgZrTa2 (PBE, Alexandria via LeMat-Bulk).

## Properties
**Magnetic moment**: 0.00 μB per formula unit
**Final energy**: -8.15 eV per atom
**Formation energy from the elements**: 0.315 eV/atom

abc: 3.047 4.140 6.271
angles: 90.00 90.00 90.00
Space group Pmmm (No. 47)
One atom of each set of equivalent atoms:
Mg: 0.000 0.000 0.000 [1 per cell]
Zr: 0.000 0.000 0.500 [1 per cell]
Ta: 0.500 0.500 0.243 [2 per cell]


8.
# MgZrTa2

A relaxed structure of MgZrTa2 (PBE, Alexandria via LeMat-Bulk).

## Properties
**Magnetic moment**: 0.00 μB per formula unit
**Final energy**: -8.24 eV per atom
**Formation energy from the elements**: 0.226 eV/atom

abc: 3.920 4.342 4.603
angles: 90.00 90.00 90.00
Space group Pmmm (No. 47)
One atom of each set of equivalent atoms:
Mg: 0.000 0.000 0.000 [1 per cell]
Zr: 0.500 0.500 0.000 [1 per cell]
Ta: 0.000 0.500 0.500 [1 per cell]
Ta: 0.500 0.000 0.500 [1 per cell]


9.
# MgZrTa2

A relaxed structure of MgZrTa2 (PBE, Alexandria via LeMat-Bulk).

## Properties
**Magnetic moment**: 0.00 μB per formula unit
**Final energy**: -8.22 eV per atom
**Formation energy from the elements**: 0.243 eV/atom

abc: 2.813 5.052 5.601
angles: 90.00 97.80 90.00
Space group P2/m (No. 10)
One atom of each set of equivalent atoms:
Mg: 0.000 0.000 0.000 [1 per cell]
Zr: 0.500 0.000 0.500 [1 per cell]
Ta: 0.235 0.500 0.741 [2 per cell]


10.
# MgZrTa

A relaxed structure of MgZrTa (PBE, Alexandria via LeMat-Bulk).

## Properties
**Polymorph energy (0 for the lowest one)**: 101 meV/atom
**Magnetic moment**: 0.00 μB per formula unit
**Final energy**: -7.18 eV per atom
**Formation energy from the elements**: 0.147 eV/atom

abc: 2.924 2.924 14.662
angles: 90.00 90.00 90.00
Space group I4mm (No. 107)
One atom of each set of equivalent atoms:
Mg: 0.000 0.000 0.000 [2 per cell]
Zr: 0.000 0.000 0.681 [2 per cell]
Ta: 0.000 0.000 0.337 [2 per cell]


11.
# MgZr4Ta

A relaxed structure of MgZr4Ta (PBE, Alexandria via LeMat-Bulk).

## Properties
**Magnetic moment**: 0.00 μB per formula unit
**Final energy**: -7.48 eV per atom
**Formation energy from the elements**: 0.457 eV/atom

abc: 8.155 8.155 8.155
angles: 90.00 90.00 90.00
Space group F-43m (No. 216)
One atom of each set of equivalent atoms:
Mg: 0.000 0.000 0.000 [4 per cell]
Zr: 0.123 0.123 0.377 [16 per cell]
Ta: 0.250 0.250 0.750 [4 per cell]


12.
# MgZrTa2

A relaxed structure of MgZrTa2 (PBE, Alexandria via LeMat-Bulk).

## Properties
**Magnetic moment**: 0.00 μB per formula unit
**Final energy**: -8.21 eV per atom
**Formation energy from the elements**: 0.255 eV/atom

abc: 2.862 2.862 9.708
angles: 90.00 90.00 90.00
Space group P4/mmm (No. 123)
One atom of each set of equivalent atoms:
Mg: 0.000 0.000 0.000 [1 per cell]
Zr: 0.000 0.000 0.500 [1 per cell]
Ta: 0.500 0.500 0.249 [2 per cell]


Question: Which formula does entry 12 have?
Answer: MgZrTa2


What did the seventh record say?
# MgZrTa2

A relaxed structure of MgZrTa2 (PBE, Alexandria via LeMat-Bulk).

## Properties
**Magnetic moment**: 0.00 μB per formula unit
**Final energy**: -8.15 eV per atom
**Formation energy from the elements**: 0.315 eV/atom

abc: 3.047 4.140 6.271
angles: 90.00 90.00 90.00
Space group Pmmm (No. 47)
One atom of each set of equivalent atoms:
Mg: 0.000 0.000 0.000 [1 per cell]
Zr: 0.000 0.000 0.500 [1 per cell]
Ta: 0.500 0.500 0.243 [2 per cell]


Question: Which of these has the highest magnetic moment?
Answer: Mg4ZrTa